Entry 1:
Here is a relaxed structure of LaFe2Ir from the Alexandria database. Energies are from PBE.

POSCAR file:
```
LaFe2Ir
1.0
4.213 0.000 0.000
-2.107 3.649 0.000
0.000 0.000 15.429
La Fe Ir
3 6 3
direct
0.000 0.000 0.000
0.333 0.667 0.667
0.667 0.333 0.333
0.000 0.000 0.507
0.000 0.000 0.808
0.333 0.667 0.174
0.333 0.667 0.474
0.667 0.333 0.141
0.667 0.333 0.840
0.000 0.000 0.189
0.333 0.667 0.856
0.667 0.333 0.522
```

## Properties
**Formation energy**: -0.146 eV/atom
**Volume**: 237.2 Å³/cell



Entry 2:
Here is a relaxed structure of LaFe4Ir from the Alexandria database. Energies are from PBE.

POSCAR file:
```
LaFe4Ir
1.0
0.000 3.581 3.581
3.581 0.000 3.581
3.581 3.581 0.000
La Fe Ir
1 4 1
direct
0.000 0.000 0.000
0.129 0.624 0.624
0.624 0.129 0.624
0.624 0.624 0.129
0.624 0.624 0.624
0.250 0.250 0.250
```

## Properties
**Formation energy**: 0.109 eV/atom
**Volume**: 91.8 Å³/cell



Entry 3:
Here is a relaxed structure of LaFe2Ir from the Alexandria database. Energies are from PBE.

POSCAR file:
```
LaFe2Ir
1.0
3.090 0.000 0.000
0.000 4.712 0.000
0.000 0.000 9.393
La Fe Ir
2 4 2
direct
0.000 0.000 0.000
0.500 0.500 0.500
0.000 0.000 0.512
0.000 0.500 0.219
0.500 0.000 0.719
0.500 0.500 0.012
0.000 0.500 0.780
0.500 0.000 0.280
```

## Properties
**Formation energy**: 0.243 eV/atom
**Volume**: 136.8 Å³/cell



Entry 4:
Here is a relaxed structure of LaFeIr from the Alexandria database. Energies are from PBE.

POSCAR file:
```
LaFeIr
1.0
2.959 0.000 0.000
-1.480 2.563 0.000
0.000 0.000 7.365
La Fe Ir
1 1 1
direct
0.000 0.000 0.000
0.667 0.333 0.372
0.333 0.667 0.638
```

## Properties
**Formation energy**: 0.466 eV/atom
**Volume**: 55.9 Å³/cell



Entry 5:
Here is a relaxed structure of LaFe2Ir from the Alexandria database. Energies are from PBE.

POSCAR file:
```
LaFe2Ir
1.0
5.558 0.000 0.000
0.000 8.697 0.000
-1.031 0.000 2.800
La Fe Ir
2 4 2
direct
0.000 0.000 0.000
0.500 0.500 0.000
0.250 0.250 0.500
0.250 0.750 0.500
0.750 0.250 0.500
0.750 0.750 0.500
0.000 0.500 0.000
0.500 0.000 0.000
```

## Properties
**Formation energy**: 0.316 eV/atom
**Volume**: 135.3 Å³/cell



Entry 6:
Here is a relaxed structure of La2FeIr2 from the Alexandria database. Energies are from PBE.

POSCAR file:
```
La2FeIr2
1.0
6.960 0.000 0.000
0.000 6.960 0.000
0.000 0.000 4.508
La Fe Ir
4 2 4
direct
0.175 0.325 0.000
0.325 0.825 0.000
0.675 0.175 0.000
0.825 0.675 0.000
0.000 0.000 0.500
0.500 0.500 0.500
0.142 0.642 0.500
0.358 0.142 0.500
0.642 0.858 0.500
0.858 0.358 0.500
```

## Properties
**Formation energy**: -0.300 eV/atom
**Volume**: 218.4 Å³/cell



Entry 7:
Here is a relaxed structure of LaFe2Ir from the Alexandria database. Energies are from PBE.

POSCAR file:
```
LaFe2Ir
1.0
6.454 0.000 0.000
0.000 6.454 0.000
0.000 0.000 6.454
La Fe Ir
4 8 4
direct
0.000 0.000 0.000
0.000 0.500 0.500
0.500 0.000 0.500
0.500 0.500 0.000
0.250 0.250 0.250
0.250 0.250 0.750
0.250 0.750 0.250
0.250 0.750 0.750
0.750 0.250 0.250
0.750 0.250 0.750
0.750 0.750 0.250
0.750 0.750 0.750
0.000 0.000 0.500
0.000 0.500 0.000
0.500 0.000 0.000
0.500 0.500 0.500
```

## Properties
**Formation energy**: 0.158 eV/atom
**Volume**: 268.9 Å³/cell



Entry 8:
Here is a relaxed structure of LaFe2Ir from the Alexandria database. Energies are from PBE.

POSCAR file:
```
LaFe2Ir
1.0
4.629 0.000 0.000
0.000 4.629 0.000
0.000 0.000 6.599
La Fe Ir
2 4 2
direct
0.000 0.000 0.000
0.500 0.500 0.500
0.000 0.000 0.500
0.000 0.500 0.750
0.500 0.000 0.250
0.500 0.500 0.000
0.000 0.500 0.250
0.500 0.000 0.750
```

## Properties
**Formation energy**: 0.248 eV/atom
**Volume**: 141.4 Å³/cell



Entry 9:
Here is a relaxed structure of LaFe2Ir from the Alexandria database. Energies are from PBE.

POSCAR file:
```
LaFe2Ir
1.0
4.240 0.000 0.000
-2.120 3.672 0.000
0.000 0.000 15.014
La Fe Ir
3 6 3
direct
0.000 0.000 0.000
0.333 0.667 0.667
0.667 0.333 0.333
0.000 0.000 0.187
0.000 0.000 0.813
0.333 0.667 0.479
0.333 0.667 0.854
0.667 0.333 0.146
0.667 0.333 0.521
0.000 0.000 0.500
0.333 0.667 0.167
0.667 0.333 0.833
```

## Properties
**Formation energy**: -0.149 eV/atom
**Volume**: 233.7 Å³/cell



Entry 10:
Here is a relaxed structure of LaFeIr from the Alexandria database. Energies are from PBE.

POSCAR file:
```
LaFeIr
1.0
4.514 0.000 0.000
0.000 4.715 0.000
0.000 0.000 11.448
La Fe Ir
4 4 4
direct
0.000 0.250 0.128
0.000 0.750 0.872
0.500 0.250 0.372
0.500 0.750 0.628
0.000 0.000 0.500
0.000 0.500 0.500
0.500 0.000 0.000
0.500 0.500 0.000
0.000 0.250 0.691
0.000 0.750 0.309
0.500 0.250 0.809
0.500 0.750 0.191
```

## Properties
**Formation energy**: -0.191 eV/atom
**Volume**: 243.7 Å³/cell



Entry 11:
Here is a relaxed structure of LaFe2Ir from the Alexandria database. Energies are from PBE.

POSCAR file:
```
LaFe2Ir
1.0
4.527 0.000 0.000
0.000 4.527 0.000
0.000 0.000 3.234
La Fe Ir
1 2 1
direct
0.000 0.000 0.000
0.000 0.500 0.500
0.500 0.000 0.500
0.500 0.500 0.000
```

## Properties
**Formation energy**: 0.275 eV/atom
**Volume**: 66.3 Å³/cell



Entry 12:
Here is a relaxed structure of LaFe2Ir from the Alexandria database. Energies are from PBE.

POSCAR file:
```
LaFe2Ir
1.0
3.726 0.000 0.000
0.000 4.301 0.000
0.000 0.000 8.941
La Fe Ir
2 4 2
direct
0.000 0.000 0.000
0.500 0.500 0.500
0.000 0.500 0.237
0.000 0.500 0.763
0.500 0.000 0.263
0.500 0.000 0.737
0.000 0.000 0.500
0.500 0.500 0.000
```

## Properties
**Formation energy**: 0.217 eV/atom
**Volume**: 143.3 Å³/cell



Entry 13:
Here is a relaxed structure of LaFeIr from the Alexandria database. Energies are from PBE.

POSCAR file:
```
LaFeIr
1.0
6.315 0.000 0.000
0.000 6.315 0.000
0.000 0.000 6.315
La Fe Ir
4 4 4
direct
0.000 0.000 0.000
0.000 0.500 0.500
0.500 0.000 0.500
0.500 0.500 0.000
0.250 0.250 0.250
0.250 0.750 0.750
0.750 0.250 0.750
0.750 0.750 0.250
0.000 0.000 0.500
0.000 0.500 0.000
0.500 0.000 0.000
0.500 0.500 0.500
```

## Properties
**Formation energy**: 0.113 eV/atom
**Volume**: 251.9 Å³/cell



Entry 14:
Here is a relaxed structure of LaFeIr from the Alexandria database. Energies are from PBE.

POSCAR file:
```
LaFeIr
1.0
6.464 0.000 0.000
0.000 6.464 0.000
0.000 0.000 6.464
La Fe Ir
4 4 4
direct
0.000 0.000 0.000
0.000 0.500 0.500
0.500 0.000 0.500
0.500 0.500 0.000
0.250 0.250 0.750
0.250 0.750 0.250
0.750 0.250 0.250
0.750 0.750 0.750
0.250 0.250 0.250
0.250 0.750 0.750
0.750 0.250 0.750
0.750 0.750 0.250
```

## Properties
**Formation energy**: 0.804 eV/atom
**Volume**: 270.1 Å³/cell



Entry 15:
Here is a relaxed structure of La4FeIr from the Alexandria database. Energies are from PBE.

POSCAR file:
```
La4FeIr
1.0
0.000 4.352 4.352
4.352 0.000 4.352
4.352 4.352 0.000
La Fe Ir
4 1 1
direct
0.376 0.376 0.376
0.376 0.376 0.873
0.376 0.873 0.376
0.873 0.376 0.376
0.000 0.000 0.000
0.750 0.750 0.750
```

## Properties
**Formation energy**: 0.883 eV/atom
**Volume**: 164.8 Å³/cell



Entry 16:
Here is a relaxed structure of LaFe2Ir from the Alexandria database. Energies are from PBE.

POSCAR file:
```
LaFe2Ir
1.0
2.973 0.000 0.000
0.000 3.616 0.000
0.000 0.000 6.674
La Fe Ir
1 2 1
direct
0.000 0.000 0.000
0.500 0.500 0.329
0.500 0.500 0.671
0.000 0.000 0.500
```

## Properties
**Formation energy**: 0.188 eV/atom
**Volume**: 71.7 Å³/cell



Entry 17:
Here is a relaxed structure of LaFeIr from the Alexandria database. Energies are from PBE.

POSCAR file:
```
LaFeIr
1.0
4.154 0.000 0.000
-2.077 3.598 0.000
0.000 0.000 4.327
La Fe Ir
1 1 1
direct
0.000 0.000 0.000
0.333 0.667 0.500
0.667 0.333 0.500
```

## Properties
**Formation energy**: -0.325 eV/atom
**Volume**: 64.7 Å³/cell



Entry 18:
Here is a relaxed structure of LaFe2Ir2 from the Alexandria database. Energies are from PBE.

POSCAR file:
```
LaFe2Ir2
1.0
4.218 0.000 0.000
0.000 4.218 0.000
0.000 0.000 10.097
La Fe Ir
2 4 4
direct
0.000 0.000 0.000
0.500 0.500 0.500
0.000 0.000 0.381
0.000 0.000 0.619
0.500 0.500 0.119
0.500 0.500 0.881
0.000 0.500 0.250
0.000 0.500 0.750
0.500 0.000 0.250
0.500 0.000 0.750
```

## Properties
**Formation energy**: -0.125 eV/atom
**Offset from the most stable computed form**: 0 meV per atom
**Volume**: 179.6 Å³/cell



Entry 19:
Here is a relaxed structure of LaFe2Ir2 from the Alexandria database. Energies are from PBE.

POSCAR file:
```
LaFe2Ir2
1.0
7.495 0.000 0.000
0.000 7.495 0.000
0.000 0.000 2.766
La Fe Ir
2 4 4
direct
0.000 0.000 0.000
0.500 0.500 0.000
0.114 0.386 0.000
0.386 0.886 0.000
0.614 0.114 0.000
0.886 0.614 0.000
0.176 0.676 0.500
0.324 0.176 0.500
0.676 0.824 0.500
0.824 0.324 0.500
```

## Properties
**Formation energy**: 0.061 eV/atom
**Offset from the most stable computed form**: 186 meV per atom
**Volume**: 155.4 Å³/cell



Entry 20:
Here is a relaxed structure of LaFe2Ir from the Alexandria database. Energies are from PBE.

POSCAR file:
```
LaFe2Ir
1.0
2.935 0.000 0.000
-1.468 2.542 0.000
0.000 0.000 28.093
La Fe Ir
3 6 3
direct
0.000 0.000 0.000
0.333 0.667 0.667
0.667 0.333 0.333
0.000 0.000 0.237
0.000 0.000 0.763
0.333 0.667 0.430
0.333 0.667 0.903
0.667 0.333 0.097
0.667 0.333 0.570
0.000 0.000 0.500
0.333 0.667 0.167
0.667 0.333 0.833
```

## Properties
**Formation energy**: 0.593 eV/atom
**Volume**: 209.6 Å³/cell



Entry 21:
Here is a relaxed structure of LaFe2Ir from the Alexandria database. Energies are from PBE.

POSCAR file:
```
LaFe2Ir
1.0
2.998 0.000 0.000
0.000 4.327 0.000
-1.469 0.000 5.610
La Fe Ir
1 2 1
direct
0.000 0.000 0.000
0.280 0.500 0.677
0.720 0.500 0.323
0.500 0.000 0.500
```

## Properties
**Formation energy**: 0.194 eV/atom
**Volume**: 72.8 Å³/cell



Entry 22:
Here is a relaxed structure of LaFe2Ir from the Alexandria database. Energies are from PBE.

POSCAR file:
```
LaFe2Ir
1.0
2.916 0.000 0.000
-1.458 2.525 0.000
0.000 0.000 27.543
La Fe Ir
3 6 3
direct
0.000 0.000 0.000
0.333 0.667 0.667
0.667 0.333 0.333
0.000 0.000 0.236
0.000 0.000 0.502
0.333 0.667 0.168
0.333 0.667 0.903
0.667 0.333 0.570
0.667 0.333 0.835
0.000 0.000 0.764
0.333 0.667 0.430
0.667 0.333 0.097
```

## Properties
**Formation energy**: 0.564 eV/atom
**Volume**: 202.8 Å³/cell



Entry 23:
Here is a relaxed structure of LaFe2Ir from the Alexandria database. Energies are from PBE.

POSCAR file:
```
LaFe2Ir
1.0
3.898 0.000 0.000
0.000 4.108 0.000
0.000 0.000 4.407
La Fe Ir
1 2 1
direct
0.000 0.000 0.000
0.000 0.500 0.500
0.500 0.000 0.500
0.500 0.500 0.000
```

## Properties
**Formation energy**: 0.232 eV/atom
**Volume**: 70.6 Å³/cell



Entry 24:
Here is a relaxed structure of LaFe2Ir from the Alexandria database. Energies are from PBE.

POSCAR file:
```
LaFe2Ir
1.0
4.486 0.000 0.000
0.000 4.486 0.000
0.000 0.000 17.302
La Fe Ir
4 8 4
direct
0.000 0.000 0.000
0.000 0.500 0.250
0.500 0.000 0.750
0.500 0.500 0.500
0.009 0.750 0.625
0.250 0.009 0.375
0.250 0.491 0.875
0.491 0.750 0.125
0.509 0.250 0.125
0.750 0.509 0.875
0.750 0.991 0.375
0.991 0.250 0.625
0.000 0.000 0.500
0.000 0.500 0.750
0.500 0.000 0.250
0.500 0.500 0.000
```

## Properties
**Formation energy**: 0.203 eV/atom
**Volume**: 348.1 Å³/cell



Entry 25:
Here is a relaxed structure of La2FeIrN from the Alexandria database. Energies are from PBE.

POSCAR file:
```
La2FeIrN
1.0
5.217 0.000 0.000
0.000 5.217 0.000
0.000 0.000 3.582
La Fe Ir N
2 1 1 1
direct
0.000 0.500 0.000
0.500 0.000 0.000
0.000 0.000 0.500
0.500 0.500 0.500
0.000 0.000 0.000
```

## Properties
**Volume**: 97.5 Å³/cell
**Formation energy without anion corrections**: -322.0 kJ/mol of formula units



Entry 26:
Here is a relaxed structure of LaFeNiIr2 from the Alexandria database. Energies are from PBE.

POSCAR file:
```
LaFeNiIr2
1.0
4.452 0.000 0.000
0.000 4.452 0.000
0.000 0.000 5.105
La Fe Ni Ir
1 1 1 2
direct
0.000 0.000 0.000
0.000 0.000 0.500
0.500 0.500 0.000
0.000 0.500 0.500
0.500 0.000 0.500
```

## Properties
**Formation energy**: 0.822 eV/atom
**Volume**: 101.2 Å³/cell



Entry 27:
Here is a relaxed structure of La2FeP4Ir3 from the Alexandria database. Energies are from PBE.

POSCAR file:
```
La2FeP4Ir3
1.0
4.199 0.000 0.000
0.000 4.199 0.000
0.000 0.000 9.567
La Fe P Ir
2 1 4 3
direct
0.000 0.500 0.244
0.500 0.000 0.756
0.000 0.000 0.500
0.000 0.000 0.000
0.000 0.500 0.628
0.500 0.000 0.372
0.500 0.500 0.000
0.000 0.500 0.886
0.500 0.000 0.114
0.500 0.500 0.500
```

## Properties
**Formation energy**: -0.978 eV/atom
**Volume**: 168.7 Å³/cell



Entry 28:
Here is a relaxed structure of La2FeP3Ir4 from the Alexandria database. Energies are from PBE.

POSCAR file:
```
La2FeP3Ir4
1.0
4.151 0.000 0.000
0.000 4.151 0.000
0.000 0.000 9.992
La Fe P Ir
2 1 3 4
direct
0.000 0.500 0.244
0.500 0.000 0.756
0.500 0.500 0.000
0.000 0.000 0.000
0.000 0.500 0.636
0.500 0.000 0.364
0.000 0.000 0.500
0.000 0.500 0.872
0.500 0.000 0.128
0.500 0.500 0.500
```

## Properties
**Formation energy**: -0.878 eV/atom
**Volume**: 172.2 Å³/cell



Entry 29:
Here is a relaxed structure of LaFeIrPt2 from the Alexandria database. Energies are from PBE.

POSCAR file:
```
LaFeIrPt2
1.0
4.584 0.000 0.000
0.000 4.584 0.000
0.000 0.000 4.925
La Fe Ir Pt
1 1 1 2
direct
0.000 0.000 0.000
0.000 0.000 0.500
0.500 0.500 0.000
0.000 0.500 0.500
0.500 0.000 0.500
```

## Properties
**Formation energy**: 0.619 eV/atom
**Volume**: 103.5 Å³/cell